The following is a PBE calculation of a relaxed HoTaAl crystal, from the Open Quantum Materials Database.

Cell lengths 6.812, 6.812, 6.812 Å; angles 90.00, 90.00, 90.00 degrees
Space group F-43m (No. 216)
Symmetry-distinct sites (fractional):
Ho 0.000 0.000 0.000 [4 per cell]
Ta 0.250 0.250 0.250 [4 per cell]
Al 0.250 0.250 0.750 [4 per cell]

Computed properties:
Total magnetic moment, μB per cell: 9.221
E, eV for the cell shown: -65.9